Entry A
A plane-wave DFT calculation with GGA-PBE was carried out for a geometry-optimized Al2CrRe structure.

Cell: 8.7938 8.7938 8.7938 Å, 18.01 18.01 18.01°
With the nearest neighbours (Å) after each atom.
Atoms (fractional coordinates):
Al 0.2476 0.2476 0.2476  3 Cr 2.63, 3 Re 2.73, 6 Al 2.75
Al 0.7524 0.7524 0.7524  3 Cr 2.63, 3 Re 2.73, 6 Al 2.75
Cr 0.5000 0.5000 0.5000  6 Al 2.63, 6 Cr 2.75
Re 0.0000 0.0000 0.0000  6 Al 2.73, 6 Re 2.75

* M_tot: 0.00 μB/atom
* symmetry: R-3m, No. 166


Entry B
A plane-wave DFT calculation with GGA-PBE was carried out for a geometry-optimized Al2CrRe structure.

Cell: 4.6628 4.6628 4.6628 Å, 130.11 130.11 73.23°
With the nearest neighbours (Å) after each atom.
Atoms (fractional coordinates):
Al 0.2500 0.7500 0.5000  4 Re 2.71, 4 Cr 2.71, 4 Al 2.78
Al 0.7500 0.2500 0.5000  4 Re 2.71, 4 Cr 2.71, 4 Al 2.78
Cr 0.0000 0.0000 0.0000  8 Al 2.71, 4 Re 2.78
Re 0.5000 0.5000 0.0000  8 Al 2.71, 4 Cr 2.78

* M_tot: 0.64 μB/atom
* symmetry: I4/mmm, No. 139


Entry C
A plane-wave DFT calculation with GGA-PBE was carried out for a geometry-optimized Al2CrRe structure.

Cell: 4.1883 4.1883 3.2354 Å, 90.00 90.00 90.00°
With the nearest neighbours (Å) after each atom.
Atoms (fractional coordinates):
Al 0.0000 0.5000 0.0000  4 Cr 2.65, 4 Re 2.65, 4 Al 2.96
Al 0.5000 0.0000 0.0000  4 Cr 2.65, 4 Re 2.65, 4 Al 2.96
Cr 0.0000 0.0000 0.5000  8 Al 2.65, 4 Re 2.96
Re 0.5000 0.5000 0.5000  8 Al 2.65, 4 Cr 2.96

* M_tot: 0.76 μB/atom
* symmetry: P4/mmm, No. 123


How do the structures above rank in stability at the extremes? entry B comes first and entry A comes last.